! PBE Nd5Y8Sc, optimized geometry; values from VASP
&SYSTEM
  ibrav = 0, nat = 14, ntyp = 3
/
ATOMIC_SPECIES
Y 88.91 Y.upf
Nd 144.24 Nd.upf
Sc 44.96 Sc.upf
CELL_PARAMETERS angstrom
0.579 5.835 -6.262
6.362 -5.677 0.475
-7.595 -3.399 -2.088
ATOMIC_POSITIONS crystal
Y 0.213 0.728 0.082
Y 0.652 0.222 0.302
Y 0.080 0.778 0.430
Y 0.520 0.767 0.875
Y 0.479 0.546 0.243
Y 0.108 0.233 0.753
Y 0.354 0.272 0.484
Y 0.697 0.454 0.933
Nd 0.825 0.724 0.690
Nd 0.589 0.000 0.589
Nd 0.302 0.041 0.919
Nd 0.965 0.276 0.100
Nd 0.878 0.959 0.261
Sc 0.089 0.500 0.589
! Spin magnetization (μB per cell): 0.000
! Raw total energy (eV/atom): -5.68
! Energy of formation (eV/atom): 0.171
! Crystal system: monoclinic
! Space-group type: C2, No. 5

! PBE NaZr2CuF11, optimized geometry; values from VASP
&SYSTEM
  ibrav = 0, nat = 15, ntyp = 4
/
ATOMIC_SPECIES
Na 22.99 Na.upf
Cu 63.55 Cu.upf
F 19.00 F.upf
Zr 91.22 Zr.upf
CELL_PARAMETERS angstrom
5.642 1.585 0.349
-0.113 5.418 0.138
-1.650 -3.434 6.956
ATOMIC_POSITIONS crystal
Na 0.000 0.000 0.000
Cu 0.000 0.500 0.500
F 0.805 0.732 0.685
F 0.680 0.845 0.989
F 0.195 0.268 0.315
F 0.163 0.230 0.691
F 0.320 0.155 0.011
F 0.837 0.770 0.309
F 0.718 0.323 0.346
F 0.313 0.723 0.106
F 0.500 0.000 0.500
F 0.282 0.677 0.654
F 0.687 0.277 0.894
Zr 0.530 0.996 0.239
Zr 0.470 0.004 0.761
! Spin magnetization (μB per cell): 1.000
! ΔE_f (raw) (eV/atom): -3.09
! Raw total energy (eV/atom): -5.96
! Crystal system: triclinic
! Space-group type: P-1, No. 2

! PBE Ta2BeP, optimized geometry; values from VASP
&SYSTEM
  ibrav = 0, nat = 4, ntyp = 3
/
ATOMIC_SPECIES
Be 9.01 Be.upf
Ta 180.95 Ta.upf
P 30.97 P.upf
CELL_PARAMETERS angstrom
-1.749 -1.625 1.689
1.388 -1.977 -1.647
5.050 -0.451 4.797
ATOMIC_POSITIONS crystal
Be 0.500 0.500 0.250
Ta 0.000 0.000 0.492
Ta 0.000 0.000 0.008
P 0.500 0.500 0.750
! Spin magnetization (μB per cell): 0.000
! Raw total energy (eV/atom): -8.32
! Energy of formation (eV/atom): -0.114
! Crystal system: orthorhombic
! Space-group type: Cmmm, No. 65

! PBE NdSm2Tm3As6, optimized geometry; values from VASP
&SYSTEM
  ibrav = 0, nat = 12, ntyp = 4
/
ATOMIC_SPECIES
Nd 144.24 Nd.upf
As 74.92 As.upf
Tm 168.93 Tm.upf
Sm 150.36 Sm.upf
CELL_PARAMETERS angstrom
-3.401 -1.866 -1.482
4.723 -4.649 -4.986
1.145 -4.035 8.271
ATOMIC_POSITIONS crystal
Nd 0.500 0.000 0.000
As 0.998 0.258 0.996
As 0.670 0.078 0.339
As 0.665 0.588 0.329
As 0.330 0.922 0.661
As 0.335 0.412 0.671
As 0.002 0.742 0.004
Tm 0.500 0.500 0.000
Tm 0.167 0.833 0.333
Tm 0.833 0.167 0.667
Sm 0.167 0.334 0.334
Sm 0.833 0.666 0.666
! Spin magnetization (μB per cell): 0.000
! Raw total energy (eV/atom): -6.13
! Energy of formation (eV/atom): -1.506
! Crystal system: monoclinic
! Space-group type: C2/m, No. 12

! PBE NaNiP, optimized geometry; values from VASP
&SYSTEM
  ibrav = 0, nat = 3, ntyp = 3
/
ATOMIC_SPECIES
P 30.97 P.upf
Ni 58.69 Ni.upf
Na 22.99 Na.upf
CELL_PARAMETERS angstrom
4.498 0.000 0.000
0.000 3.747 0.000
0.000 -1.873 3.245
ATOMIC_POSITIONS crystal
P 0.167 0.000 0.000
Ni 0.167 0.667 0.333
Na 0.667 0.333 0.667
! Spin magnetization (μB per cell): 0.000
! Raw total energy (eV/atom): -4.49
! Energy of formation (eV/atom): -0.323
! Crystal system: hexagonal
! Space-group type: P-6m2, No. 187

! PBE HgBiIO2, optimized geometry; values from VASP
&SYSTEM
  ibrav = 0, nat = 5, ntyp = 4
/
ATOMIC_SPECIES
I 126.90 I.upf
Hg 200.59 Hg.upf
O 16.00 O.upf
Bi 208.98 Bi.upf
CELL_PARAMETERS angstrom
4.321 0.000 0.000
0.000 4.321 0.000
0.000 0.000 6.928
ATOMIC_POSITIONS crystal
I 0.000 0.000 0.500
Hg 0.500 0.500 0.500
O 0.000 0.500 0.000
O 0.500 0.000 0.000
Bi 0.000 0.000 0.000
! Spin magnetization (μB per cell): 0.000
! ΔE_f (raw) (eV/atom): -0.28
! Raw total energy (eV/atom): -3.41
! Crystal system: tetragonal
! Space-group type: P4/mmm, No. 123

! PBE Na2LaTl4Pb, optimized geometry; values from VASP
&SYSTEM
  ibrav = 0, nat = 16, ntyp = 4
/
ATOMIC_SPECIES
Tl 204.38 Tl.upf
La 138.91 La.upf
Pb 207.20 Pb.upf
Na 22.99 Na.upf
CELL_PARAMETERS angstrom
4.986 0.000 0.000
-2.493 6.093 0.000
0.000 0.000 16.717
ATOMIC_POSITIONS crystal
Tl 0.000 0.000 0.000
Tl 0.590 0.179 0.597
Tl 0.410 0.821 0.403
Tl 0.410 0.821 0.097
Tl 0.590 0.179 0.903
Tl 0.000 0.000 0.500
Tl 0.590 0.180 0.250
Tl 0.410 0.820 0.750
La 0.921 0.843 0.250
La 0.079 0.157 0.750
Pb 0.765 0.531 0.750
Pb 0.235 0.469 0.250
Na 0.706 0.413 0.077
Na 0.294 0.587 0.923
Na 0.706 0.413 0.423
Na 0.294 0.587 0.577
! Spin magnetization (μB per cell): 0.000
! Raw total energy (eV/atom): -2.74
! Energy of formation (eV/atom): -0.146
! Crystal system: orthorhombic
! Space-group type: Cmcm, No. 63

! PBE NaPt8, optimized geometry; values from VASP
&SYSTEM
  ibrav = 0, nat = 9, ntyp = 2
/
ATOMIC_SPECIES
Pt 195.08 Pt.upf
Na 22.99 Na.upf
CELL_PARAMETERS angstrom
-4.213 4.213 1.988
4.213 -4.213 1.988
4.213 4.213 -1.988
ATOMIC_POSITIONS crystal
Pt 0.334 0.666 0.000
Pt 0.334 0.334 0.669
Pt 0.000 0.669 0.669
Pt 0.000 0.331 0.331
Pt 0.666 0.334 0.000
Pt 0.669 0.000 0.669
Pt 0.666 0.666 0.331
Pt 0.331 0.000 0.331
Na 0.000 0.000 0.000
! Spin magnetization (μB per cell): 0.000
! Raw total energy (eV/atom): -5.55
! Energy of formation (eV/atom): -0.039
! Crystal system: tetragonal
! Space-group type: I4/mmm, No. 139

! PBE YNiPt2, optimized geometry; values from VASP
&SYSTEM
  ibrav = 0, nat = 16, ntyp = 3
/
ATOMIC_SPECIES
Ni 58.69 Ni.upf
Pt 195.08 Pt.upf
Y 88.91 Y.upf
CELL_PARAMETERS angstrom
-3.537 0.380 -0.153
-0.496 -4.978 -0.820
-1.009 -2.658 16.749
ATOMIC_POSITIONS crystal
Ni 0.000 0.250 0.128
Ni 0.500 0.750 0.629
Ni 0.500 0.250 0.371
Ni 0.000 0.750 0.872
Pt 0.250 0.527 0.750
Pt 0.000 0.500 0.000
Pt 0.250 0.027 0.250
Pt 0.750 0.473 0.250
Pt 0.000 0.000 0.000
Pt 0.500 0.500 0.500
Pt 0.750 0.973 0.750
Pt 0.500 0.000 0.500
Y 0.000 0.750 0.386
Y 0.000 0.250 0.614
Y 0.500 0.750 0.114
Y 0.500 0.250 0.886
! Spin magnetization (μB per cell): 0.000
! Raw total energy (eV/atom): -6.50
! Energy of formation (eV/atom): -0.419
! Crystal system: orthorhombic
! Space-group type: Pnna, No. 52